Compound: SrCaP2O8
Source: Alexandria
Functional: GGA-PBE
Structure: optimized geometry

abc: 5.4036 5.4036 7.5245
angles: 90.00 90.00 120.00
With the nearest neighbours (Å) after each atom.
Space group P-3 (No. 147)
Inequivalent atoms, fractional coordinates:
Sr: 0.0000 0.0000 0.0000 (multiplicity 1)  6 O 2.70
Ca: 0.0000 0.0000 0.5000 (multiplicity 1)  6 O 2.33
P: 0.3333 0.6667 0.7827 (multiplicity 2)  4 O 1.54-1.55
O: 0.1762 0.8215 0.7166 (multiplicity 6)  1 P 1.54
O: 0.3333 0.6667 0.9893 (multiplicity 2)  1 P 1.55

For the uncorrected formation energy, the calculation gives -2.369 eV per atom. The volume comes out at 190.3 Å³/cell.



Compound: La2PRh
Source: Alexandria
Functional: GGA-PBE
Structure: optimized geometry

abc: 7.0173 7.0173 7.0173
angles: 90.00 90.00 90.00
With the nearest neighbours (Å) after each atom.
Space group F-43m (No. 216)
Inequivalent atoms, fractional coordinates:
La: 0.0000 0.0000 0.0000 (multiplicity 4)  4 La 3.04, 4 Rh 3.04
La: 0.2500 0.2500 0.2500 (multiplicity 4)  4 La 3.04, 4 P 3.04
P: 0.0000 0.0000 0.5000 (multiplicity 4)  4 Rh 3.04, 4 La 3.04
Rh: 0.2500 0.2500 0.7500 (multiplicity 4)  4 La 3.04, 4 P 3.04

Its calculated formation energy is -1.6 eV per formula unit. The volume comes out at 345.6 Å³/cell.



Compound: HoEr5In2Bi
Source: Alexandria
Functional: GGA-PBE
Structure: optimized geometry

abc: 8.5396 8.5396 14.1557
angles: 90.00 90.00 90.00
With the nearest neighbours (Å) after each atom.
Space group I4/mcm (No. 140)
Inequivalent atoms, fractional coordinates:
Ho: 0.0000 0.5000 0.2500 (multiplicity 4)  4 Er 3.01
Er: 0.0000 0.0000 0.0000 (multiplicity 4)  4 In 3.45, 2 Bi 3.54, 8 Er 3.59
Er: 0.2072 0.2928 0.1316 (multiplicity 16)  1 In 2.88, 1 Ho 3.01
In: 0.1111 0.3889 0.5000 (multiplicity 8)  1 In 2.68, 2 Er 2.88
Bi: 0.0000 0.0000 0.2500 (multiplicity 4)  10 Er 3.49-3.54

Its calculated formation energy is -0.7 eV per formula unit. The volume comes out at 1032.3 Å³/cell.



Compound: GdAgPdPt
Source: Alexandria
Functional: GGA-PBE
Structure: optimized geometry

abc: 6.7505 6.7505 6.7505
angles: 90.00 90.00 90.00
With the nearest neighbours (Å) after each atom.
Space group F-43m (No. 216)
Inequivalent atoms, fractional coordinates:
Gd: 0.0000 0.0000 0.0000 (multiplicity 4)  4 Pt 2.92, 4 Pd 2.92
Ag: 0.0000 0.0000 0.5000 (multiplicity 4)  4 Pd 2.92, 4 Pt 2.92
Pd: 0.2500 0.2500 0.7500 (multiplicity 4)  4 Gd 2.92, 4 Ag 2.92
Pt: 0.2500 0.2500 0.2500 (multiplicity 4)  4 Gd 2.92, 4 Ag 2.92

Its calculated formation energy is -2.6 eV per formula unit. The volume comes out at 307.6 Å³/cell.



Compound: Nb2IrPt
Source: Alexandria
Functional: GGA-PBE
Structure: optimized geometry

abc: 5.6992 8.0273 2.8474
angles: 90.00 90.00 90.00
With the nearest neighbours (Å) after each atom.
Space group Cmmm (No. 65)
Inequivalent atoms, fractional coordinates:
Nb: 0.2500 0.2500 0.0000 (multiplicity 4)  4 Ir 2.84, 4 Pt 2.84, 4 Nb 2.85
Ir: 0.0000 0.0000 0.5000 (multiplicity 2)  8 Nb 2.84, 2 Ir 2.85, 2 Pt 2.85
Pt: 0.0000 0.5000 0.5000 (multiplicity 2)  8 Nb 2.84, 2 Pt 2.85, 2 Ir 2.85

Its calculated formation energy is -2.4 eV per formula unit. The volume comes out at 130.3 Å³/cell.



Compound: Zr3In2Sn
Source: Alexandria
Functional: GGA-PBE
Structure: optimized geometry

abc: 5.3804 16.1429 3.1104
angles: 90.00 90.00 90.00
With the nearest neighbours (Å) after each atom.
Space group Cmmm (No. 65)
Inequivalent atoms, fractional coordinates:
Zr: 0.0000 0.0000 0.0000 (multiplicity 2)  4 Sn 3.11, 2 Zr 3.11, 4 In 3.16
Zr: 0.0000 0.3384 0.0000 (multiplicity 4)  2 Sn 3.04, 2 Zr 3.11, 6 In 3.11-3.13
In: 0.0000 0.1702 0.5000 (multiplicity 4)  2 In 3.11, 8 Zr 3.11-3.16
Sn: 0.0000 0.5000 0.5000 (multiplicity 2)  8 Zr 3.04-3.11, 2 Sn 3.11

Its calculated formation energy is -1.5 eV per formula unit. The volume comes out at 270.2 Å³/cell.



Compound: Ni4Ge
Source: Alexandria
Functional: GGA-PBE
Structure: optimized geometry

abc: 4.0231 6.8144 4.7737
angles: 90.00 90.17 90.00
With the nearest neighbours (Å) after each atom.
Space group C2/m (No. 12)
Inequivalent atoms, fractional coordinates:
Ni: 0.9997 0.0000 0.2418 (multiplicity 4)  6 Ni 2.31-2.58, 2 Ge 2.36
Ni: 0.0000 0.3327 0.0000 (multiplicity 4)  5 Ni 2.28-2.54
Ge: 0.0000 0.5000 0.5000 (multiplicity 2)  4 Ni 2.36

Its energy above the most stable polymorph in this dataset is 0.084 eV/atom. Its calculated formation energy is 0.3 eV per formula unit. The volume comes out at 130.9 Å³/cell.